No. 1
A relaxed B4W crystal. Source: Alexandria, functional PBE.

Summary:
The total energy comes out at -148.59 eV/cell. The value obtained for the theoretical density is 7.95 g/cm3. The total magnetization comes out at 0.0 Bohr magnetons per cell.

Unit cell a=6.988 b=6.988 c=3.887 alpha=90.00 beta=90.00 gamma=90.00
Space group P4/mbm (No. 127)
Inequivalent atoms, fractional coordinates:
B1 0.000 0.000 0.200 x4
B2 0.024 0.182 0.500 x8
B3 0.088 0.412 0.500 x4
W1 0.120 0.620 0.000 x4

No. 2
A relaxed B4W crystal. Source: Alexandria, functional PBE.

Summary:
The total energy comes out at -28.78 eV/cell. The value obtained for the theoretical density is 5.13 g/cm3. The total magnetization comes out at 0.0 Bohr magnetons per cell.

Unit cell a=4.190 b=4.190 c=4.190 alpha=90.00 beta=90.00 gamma=90.00
Space group Pm-3m (No. 221)
Inequivalent atoms, fractional coordinates:
B1 0.000 0.000 0.000 x1
B2 0.000 0.500 0.500 x3
W1 0.500 0.500 0.500 x1

total energy of number 1 (B4W)? -148.59 eV/cell

Which value of total energy does entry 1 give? -148.59 eV/cell

Please write out number 1 again, unchanged.
A relaxed B4W crystal. Source: Alexandria, functional PBE.

Summary:
The total energy comes out at -148.59 eV/cell. The value obtained for the theoretical density is 7.95 g/cm3. The total magnetization comes out at 0.0 Bohr magnetons per cell.

Unit cell a=6.988 b=6.988 c=3.887 alpha=90.00 beta=90.00 gamma=90.00
Space group P4/mbm (No. 127)
Inequivalent atoms, fractional coordinates:
B1 0.000 0.000 0.200 x4
B2 0.024 0.182 0.500 x8
B3 0.088 0.412 0.500 x4
W1 0.120 0.620 0.000 x4